Entry from Alexandria via LeMat-Bulk: a geometry-optimized PmPuAl structure (GGA-PBE).

Unit cell a=3.286 b=5.176 c=5.176 alpha=120.00 beta=90.00 gamma=90.00
Site moments in Bohr magnetons follow the coordinates.
Sites, in units of the cell vectors:
Pu 0.026 0.000 0.000  5.50
Al 0.327 0.667 0.333  -0.04
Pm 0.647 0.333 0.667  0.07

Calculated values
As for the distance to the lowest polymorph of the same formula: 57 meV per atom. The value obtained for the total magnetization is 1.94 μB per atom. Its space group is P3m1 (156). The crystal system is trigonal. The energy relative to the elements is -0.014 eV/atom. For the total DFT energy (no corrections), the calculation gives -22.9 eV per formula unit.


Entry from Alexandria via LeMat-Bulk: a geometry-optimized NaSb3N structure (GGA-PBE).

Unit cell a=4.846 b=4.846 c=4.846 alpha=90.00 beta=90.00 gamma=90.00
Sites, in units of the cell vectors:
Sb 0.500 0.000 0.000
Na 0.500 0.500 0.500
Sb 0.000 0.000 0.500
Sb 0.000 0.500 0.000
N 0.000 0.000 0.000

Calculated values
As for the distance to the lowest polymorph of the same formula: 0 meV per atom. The value obtained for the total magnetization is 0.00 μB per atom. Its space group is Pm-3m (221). The crystal system is cubic. The value obtained for the uncorrected formation energy is 0.41 eV per atom. For the total DFT energy (no corrections), the calculation gives -20.0 eV per formula unit.


Entry from Alexandria via LeMat-Bulk: a geometry-optimized Mg3Pb5 structure (GGA-PBE).

Unit cell a=8.988 b=8.988 c=6.432 alpha=90.00 beta=90.00 gamma=119.89
Sites, in units of the cell vectors:
Mg 0.000 0.411 0.750
Pb 0.219 0.999 0.250
Mg 0.411 0.000 0.750
Mg 0.000 0.589 0.250
Pb 0.781 0.001 0.750
Pb 0.667 0.333 0.500
Pb 0.667 0.333 0.000
Pb 0.001 0.781 0.750
Pb 0.780 0.780 0.250
Pb 0.220 0.220 0.750
Pb 0.333 0.667 0.000
Pb 0.333 0.667 0.500
Mg 0.410 0.410 0.250
Mg 0.590 0.590 0.750
Pb 0.999 0.219 0.250
Mg 0.589 0.000 0.250

Calculated values
As for the distance to the lowest polymorph of the same formula: 33 meV per atom. The value obtained for the total magnetization is 0.00 μB per atom. Its space group is Cmcm (63). The crystal system is orthorhombic. The energy relative to the elements is 0.011 eV/atom. For the total DFT energy (no corrections), the calculation gives -23.2 eV per formula unit.


Entry from Alexandria via LeMat-Bulk: a geometry-optimized Li3Ge3Au2 structure (GGA-PBE).

Unit cell a=4.498 b=5.195 c=13.266 alpha=90.00 beta=90.00 gamma=115.66
Sites, in units of the cell vectors:
Au 0.804 0.609 0.620
Ge 0.578 0.156 0.078
Ge 0.422 0.844 0.578
Li 0.889 0.778 0.417
Au 0.804 0.609 0.880
Ge 0.578 0.156 0.422
Ge 0.411 0.821 0.250
Ge 0.422 0.844 0.922
Li 0.111 0.222 0.583
Li 0.713 0.426 0.250
Li 0.889 0.778 0.083
Au 0.196 0.391 0.380
Au 0.196 0.391 0.120
Ge 0.589 0.179 0.750
Li 0.287 0.574 0.750
Li 0.111 0.222 0.917

Calculated values
The value obtained for the total magnetization is 0.00 μB per atom. Its space group is Cmcm (63). The crystal system is orthorhombic. The energy relative to the elements is -0.309 eV/atom. For the total DFT energy (no corrections), the calculation gives -28.6 eV per formula unit.


Entry from Alexandria via LeMat-Bulk: a geometry-optimized Cs2AgH structure (GGA-PBE).

Unit cell a=4.911 b=4.944 c=13.577 alpha=100.49 beta=90.00 gamma=90.00
Sites, in units of the cell vectors:
Cs 0.750 0.923 0.847
Ag 0.250 0.471 0.943
H 0.250 0.195 0.390
Ag 0.750 0.529 0.057
Cs 0.250 0.077 0.153
Cs 0.250 0.309 0.617
Cs 0.750 0.691 0.383
H 0.750 0.805 0.610

Calculated values
As for the distance to the lowest polymorph of the same formula: 0 meV per atom. The value obtained for the total magnetization is 0.00 μB per atom. Its space group is Cmcm (63). The crystal system is orthorhombic. For the total DFT energy (no corrections), the calculation gives -8.1 eV per formula unit.


Entry from Alexandria via LeMat-Bulk: a geometry-optimized Mg2ZrPb structure (GGA-PBE).

Unit cell a=4.425 b=4.427 c=4.567 alpha=90.00 beta=90.00 gamma=90.00
Sites, in units of the cell vectors:
Mg 0.500 0.500 0.000
Mg 0.000 0.000 0.000
Zr 0.000 0.500 0.500
Pb 0.500 0.000 0.500

Calculated values
The value obtained for the total magnetization is 0.00 μB per atom. Its space group is P4/mmm (123). The crystal system is tetragonal. The energy relative to the elements is -0.131 eV/atom. For the total DFT energy (no corrections), the calculation gives -16.0 eV per formula unit.